No. 1
A relaxed structure of Ti2InS. Source: Alexandria, functional GGA-PBE.

Structure (extended XYZ):
```
4
Lattice="0.0000 3.2692 3.2692 3.2692 0.0000 3.2692 3.2692 3.2692 0.0000" Properties=species:S:1:pos:R:3 pbc="T T T"
Ti 1.6346 1.6346 1.6346
Ti 4.9038 4.9038 4.9038
In 0.0000 0.0000 0.0000
S 3.2692 3.2692 3.2692
```

Results
ΔE to the lowest computed polymorph: 690 meV/atom
formation energy from raw total energies: -8.1 kJ per mole of atoms

No. 2
A relaxed structure of TiInS2. Source: Alexandria, functional GGA-PBE.

Structure (extended XYZ):
```
8
Lattice="1.8958 -10.7402 0.0000 1.8958 10.7402 0.0000 0.0000 0.0000 4.7791" Properties=species:S:1:pos:R:3 pbc="T T T"
Ti 1.8958 9.4579 3.5843
Ti 1.8958 -9.4579 1.1948
In 1.8958 3.8363 3.5843
In 1.8958 -3.8363 1.1948
S 1.8958 9.5754 1.1948
S 1.8958 7.1659 3.5843
S 1.8958 -7.1659 1.1948
S 1.8958 -9.5754 3.5843
```

Results
formation energy from raw total energies: -54.4 kJ per mole of atoms

No. 3
A relaxed structure of Ti2InS. Source: Alexandria, functional GGA-PBE.

Structure (extended XYZ):
```
4
Lattice="1.7063 0.9851 7.1436 -1.7063 0.9851 7.1436 0.0000 -1.9702 7.1436" Properties=species:S:1:pos:R:3 pbc="T T T"
Ti 0.0000 0.0000 4.8667
Ti 0.0000 0.0000 16.5643
In 0.0000 0.0000 0.0000
S 0.0000 0.0000 10.7155
```

Results
ΔE to the lowest computed polymorph: 20 meV/atom
formation energy from raw total energies: -72.7 kJ per mole of atoms

No. 4
A relaxed structure of Ti3InS. Source: Alexandria, functional GGA-PBE.

Structure (extended XYZ):
```
10
Lattice="5.8711 -2.3840 0.0000 5.8711 2.3840 0.0000 -0.7369 0.0000 6.7373" Properties=species:S:1:pos:R:3 pbc="T T T"
Ti 0.1951 0.0000 2.0332
Ti 1.2190 0.0000 6.5196
Ti 3.1093 0.0000 2.2922
Ti 7.8960 0.0000 4.4451
Ti 9.7863 0.0000 0.2177
Ti 10.8102 0.0000 4.7042
In 3.9987 0.0000 5.6959
In 7.0067 0.0000 1.0415
S 1.3740 0.0000 4.0916
S 9.6314 0.0000 2.6457
```

Results
ΔE to the lowest computed polymorph: 73 meV/atom
formation energy from raw total energies: -39.0 kJ per mole of atoms

No. 5
A relaxed structure of Ti2InS. Source: Alexandria, functional GGA-PBE.

Structure (extended XYZ):
```
4
Lattice="1.6929 0.9774 7.2231 -1.6929 0.9774 7.2231 0.0000 -1.9548 7.2231" Properties=species:S:1:pos:R:3 pbc="T T T"
Ti 0.0000 0.0000 0.0000
Ti 0.0000 0.0000 4.5810
In 0.0000 0.0000 16.7587
S 0.0000 0.0000 13.1230
```

Results
ΔE to the lowest computed polymorph: 0 meV/atom
formation energy from raw total energies: -74.6 kJ per mole of atoms

No. 6
A relaxed structure of TiInS2. Source: Alexandria, functional GGA-PBE.

Structure (extended XYZ):
```
4
Lattice="3.3951 0.0000 0.0000 -1.6976 2.9403 0.0000 0.0000 0.0000 8.5539" Properties=species:S:1:pos:R:3 pbc="T T T"
Ti 0.0000 0.0000 0.0000
In 0.0000 1.9602 4.2466
S 0.0000 1.9602 7.1049
S 1.6976 0.9801 1.4480
```

Results
formation energy from raw total energies: -96.5 kJ per mole of atoms

No. 7
A relaxed structure of Ti2In2S. Source: Alexandria, functional GGA-PBE.

Structure (extended XYZ):
```
10
Lattice="6.3511 0.0000 0.0000 0.0000 6.3511 0.0000 0.0000 0.0000 4.7977" Properties=species:S:1:pos:R:3 pbc="T T T"
Ti 1.0293 2.1462 0.0000
Ti 2.1462 5.3218 0.0000
Ti 4.2049 1.0293 0.0000
Ti 5.3218 4.2049 0.0000
In 1.0126 4.1882 2.3988
In 2.1629 1.0126 2.3988
In 4.1882 5.3385 2.3988
In 5.3385 2.1629 2.3988
S 0.0000 0.0000 0.0000
S 3.1755 3.1755 0.0000
```

Results
formation energy from raw total energies: -47.7 kJ per mole of atoms

No. 8
A relaxed structure of TiTl2InS4. Source: Alexandria, functional GGA-PBE.

Structure (extended XYZ):
```
16
Lattice="8.0729 0.0000 0.0000 0.0000 9.2729 0.0000 0.0000 0.0000 6.5270" Properties=species:S:1:pos:R:3 pbc="T T T"
Ti 0.0000 1.3768 0.0000
Ti 4.0365 7.8961 3.2635
Tl 1.8829 6.1117 0.3626
Tl 2.1536 3.1611 3.6261
Tl 5.9193 3.1611 3.6261
Tl 6.1900 6.1117 0.3626
In 0.0000 8.1338 3.3167
In 4.0365 1.1391 0.0531
S 0.0000 1.2748 4.2092
S 0.0000 8.4940 0.7380
S 1.9027 2.5549 0.5538
S 2.1338 6.7179 3.8173
S 4.0365 0.7789 4.0015
S 4.0365 7.9981 0.9457
S 5.9391 6.7179 3.8173
S 6.1702 2.5549 0.5538
```

Results
formation energy from raw total energies: -66.4 kJ per mole of atoms

No. 9
A relaxed structure of Tm3TiIn3S8. Source: Alexandria, functional GGA-PBE.

Structure (extended XYZ):
```
15
Lattice="3.8287 2.2105 7.4681 -3.8287 2.2105 7.4681 0.0000 -4.4210 7.4681" Properties=species:S:1:pos:R:3 pbc="T T T"
Tm -1.9143 -1.1053 7.4681
Tm -1.9143 1.1052 14.9362
Tm 0.0000 2.2105 7.4681
Ti 0.0000 0.0000 0.0000
In -3.8287 0.0000 11.2021
In -1.9143 1.1052 3.7340
In 1.9143 1.1053 3.7340
S 0.0000 -2.3777 8.9044
S -2.0591 1.1888 8.9044
S -2.0591 -1.1888 13.4998
S 0.0000 0.0000 5.9628
S 0.0000 0.0000 16.4415
S 2.0591 1.1888 8.9044
S 2.0591 -1.1888 13.4998
S 0.0000 2.3777 13.4998
```

Results
formation energy from raw total energies: -132.4 kJ per mole of atoms

No. 10
A relaxed structure of Y2TiInS. Source: Alexandria, functional GGA-PBE.

Structure (extended XYZ):
```
5
Lattice="5.2090 0.0000 0.0000 0.0000 5.2090 0.0000 0.0000 0.0000 4.5358" Properties=species:S:1:pos:R:3 pbc="T T T"
Y 0.0000 2.6045 0.0000
Y 2.6045 0.0000 0.0000
Ti 0.0000 0.0000 2.2679
In 2.6045 2.6045 2.2679
S 0.0000 0.0000 0.0000
```

Results
formation energy from raw total energies: -73.6 kJ per mole of atoms

No. 11
A relaxed structure of Tl2In2S5. Source: Alexandria, functional GGA-PBE.

Structure (extended XYZ):
```
9
Lattice="7.4579 -2.6330 0.0000 7.4579 2.6330 0.0000 -1.0155 0.0000 6.4311" Properties=species:S:1:pos:R:3 pbc="T T T"
Tl 1.8279 0.0000 2.5649
Tl 12.0724 0.0000 3.8662
In 5.1224 0.0000 0.6845
In 8.7779 0.0000 5.7466
S 1.6575 0.0000 6.3217
S 4.8306 0.0000 3.2129
S 7.4579 0.0000 0.0000
S 9.0697 0.0000 3.2183
S 12.2428 0.0000 0.1094
```

Results
ΔE to the lowest computed polymorph: 150 meV/atom
formation energy from raw total energies: -21.7 kJ per mole of atoms

No. 12
A relaxed structure of TlInS4. Source: Alexandria, functional GGA-PBE.

Structure (extended XYZ):
```
12
Lattice="-2.7508 2.7508 14.8835 2.7508 -2.7508 14.8835 2.7508 2.7508 -14.8835" Properties=species:S:1:pos:R:3 pbc="T T T"
Tl 0.0000 1.3754 3.7209
Tl 2.7508 1.3754 11.1626
In 2.7508 1.3754 -3.7209
In 0.0000 1.3754 18.6044
S 0.9278 -0.9197 5.5161
S 3.2065 0.4476 1.9256
S 3.6786 -0.9197 9.3674
S 2.2951 2.3032 1.9256
S 0.4557 0.4476 12.9579
S -0.9278 3.6704 5.5161
S -0.4557 2.3032 12.9579
S 1.8230 3.6704 9.3674
```

Results
ΔE to the lowest computed polymorph: 0 meV/atom
formation energy from raw total energies: -9.9 kJ per mole of atoms